# 1
A relaxed Sm4Al12Ir crystal, computed with PBE.

```
data_Sm4Al12Ir
_chemical_formula_sum 'Sm8 Al24 Ir2'
_cell_length_a 8.734
_cell_length_b 8.734
_cell_length_c 8.734
_cell_angle_alpha 90.00
_cell_angle_beta 90.00
_cell_angle_gamma 90.00
_space_group_name_H-M_alt 'I m -3 m'
_space_group_IT_number 229
_space_group_name_Hall '-I 4 2 3'
loop_
_atom_site_label
_atom_site_type_symbol
_atom_site_fract_x
_atom_site_fract_y
_atom_site_fract_z
Sm1 Sm 0.250 0.250 0.250
Al1 Al 0.000 0.000 0.288
Al2 Al 0.000 0.250 0.500
Ir1 Ir 0.000 0.000 0.000
```

Results
- formation enthalpy at 0 K (eV per atom) = -0.5462
- E_tot (eV/atom) = -4.820


# 2
A relaxed Sm5Tl2H crystal, computed with PBE.

```
data_Sm5Tl2H
_chemical_formula_sum 'Sm10 Tl4 H2'
_cell_length_a 7.068
_cell_length_b 7.068
_cell_length_c 9.149
_cell_angle_alpha 90.00
_cell_angle_beta 90.00
_cell_angle_gamma 90.00
_space_group_name_H-M_alt 'I 4 m m'
_space_group_IT_number 107
_space_group_name_Hall 'I 4 -2'
loop_
_atom_site_label
_atom_site_type_symbol
_atom_site_fract_x
_atom_site_fract_y
_atom_site_fract_z
Sm1 Sm 0.000 0.000 0.000
Sm2 Sm 0.249 0.249 0.745
Tl1 Tl 0.000 0.500 0.497
H1 H 0.000 0.000 0.252
```

Results
- E_tot (eV/atom) = -4.106


# 3
A relaxed Y4FeRu crystal, computed with PBE.

```
data_Y4FeRu
_chemical_formula_sum 'Y16 Fe4 Ru4'
_cell_length_a 8.462
_cell_length_b 8.462
_cell_length_c 8.462
_cell_angle_alpha 90.00
_cell_angle_beta 90.00
_cell_angle_gamma 90.00
_space_group_name_H-M_alt 'F -4 3 m'
_space_group_IT_number 216
_space_group_name_Hall 'F -4 2 3'
loop_
_atom_site_label
_atom_site_type_symbol
_atom_site_fract_x
_atom_site_fract_y
_atom_site_fract_z
Y1 Y 0.125 0.125 0.125
Fe1 Fe 0.250 0.250 0.750
Ru1 Ru 0.000 0.000 0.500
```

Results
- formation enthalpy at 0 K (eV per atom) = 1.0228
- E_tot (eV/atom) = -6.243


# 4
A relaxed LiNiI2 crystal, computed with PBE.

```
data_LiNiI2
_chemical_formula_sum 'Li4 Ni4 I8'
_cell_length_a 7.352
_cell_length_b 7.352
_cell_length_c 7.352
_cell_angle_alpha 90.00
_cell_angle_beta 90.00
_cell_angle_gamma 90.00
_space_group_name_H-M_alt 'F m -3 m'
_space_group_IT_number 225
_space_group_name_Hall '-F 4 2 3'
loop_
_atom_site_label
_atom_site_type_symbol
_atom_site_fract_x
_atom_site_fract_y
_atom_site_fract_z
Li1 Li 0.000 0.000 0.000
Ni1 Ni 0.000 0.000 0.500
I1 I 0.250 0.250 0.250
```

Results
- E_tot (eV/atom) = -2.635
- uncorrected formation energy (eV/atom) = 0.064
- E above lowest polymorph (eV/atom) = 0.5288